1.
Here is a crystal of InRuSe relaxed with PBEsol from Alexandria. Energies are from SCAN.

Unit cell a=4.390 b=4.390 c=4.390 alpha=60.00 beta=60.00 gamma=60.00
Last column: magnetic moment on the atom in μB.
Positions (direct):
In (0.000, 0.000, 0.000)  -0.03
Se (0.250, 0.250, 0.250)  0.05
Ru (0.500, 0.500, 0.500)  1.44

Computed properties:
* SG: F-43m, No. 216
* electronic total energy: -86.089 eV for the cell shown
* Fermi-level density of states: 3.73 states/eV/cell
* ΔE_f (raw): 0.73 eV/atom

***

2.
Here is a crystal of ZrFe2W relaxed with PBEsol from Alexandria. Energies are from SCAN.

Unit cell a=3.600 b=3.600 c=5.047 alpha=110.89 beta=110.89 gamma=90.00
Last column: magnetic moment on the atom in μB.
Positions (direct):
Zr (0.250, 0.750, 0.500)  -0.34
Fe (0.000, 0.000, 0.000)  2.31
Fe (0.750, 0.250, 0.500)  1.99
W (0.500, 0.500, 0.000)  -0.36

Computed properties:
* SG: I-4m2, No. 119
* electronic total energy: -135.298 eV for the cell shown
* Fermi-level density of states: 2.80 states/eV/cell
* calculated formation energy: 0.337 eV/atom

***

3.
Here is a crystal of SmCo2P2 relaxed with PBEsol from Alexandria. Energies are from SCAN.

Unit cell a=3.822 b=3.822 c=5.446 alpha=110.54 beta=110.54 gamma=90.00
Last column: magnetic moment on the atom in μB.
Positions (direct):
Co (0.250, 0.750, 0.500)  0.82
Co (0.750, 0.250, 0.500)  0.82
P (0.630, 0.630, 0.260)  0.01
P (0.370, 0.370, 0.740)  0.01
Sm (0.000, 0.000, 0.000)  0.00

Computed properties:
* SG: I4/mmm, No. 139
* electronic total energy: -104.913 eV for the cell shown
* Fermi-level density of states: 1.75 states/eV/cell
* calculated formation energy: -1.013 eV/atom

***

4.
Here is a crystal of Na2GeH2 relaxed with PBEsol from Alexandria. Energies are from SCAN.

Unit cell a=2.713 b=7.360 c=7.360 alpha=90.00 beta=90.00 gamma=90.00
Positions (direct):
Na (0.000, 0.361, 0.861)
Na (0.000, 0.139, 0.361)
Na (0.000, 0.639, 0.139)
Na (0.000, 0.861, 0.639)
H (0.500, 0.644, 0.856)
H (0.500, 0.356, 0.144)
H (0.500, 0.856, 0.356)
H (0.500, 0.144, 0.644)
Ge (0.000, 0.000, 0.000)
Ge (0.000, 0.500, 0.500)

Computed properties:
* SG: P4/mbm, No. 127
* electronic total energy: -64.985 eV for the cell shown
* Fermi-level density of states: 3.29 states/eV/cell

***

5.
Here is a crystal of GaSi2Ag relaxed with PBEsol from Alexandria. Energies are from SCAN.

Unit cell a=7.177 b=5.709 c=7.177 alpha=51.05 beta=90.00 gamma=128.95
Positions (direct):
Ga (0.500, 0.000, 0.500)
Ga (0.250, 0.500, 0.250)
Si (0.622, 0.750, 0.375)
Si (0.128, 0.750, 0.875)
Si (0.875, 0.250, 0.622)
Si (0.375, 0.250, 0.128)
Ag (0.000, 0.000, 0.000)
Ag (0.750, 0.500, 0.750)

Computed properties:
* SG: I-42d, No. 122
* electronic total energy: -131.432 eV for the cell shown
* Fermi-level density of states: 3.24 states/eV/cell
* ΔE_f (raw): 0.51 eV/atom

***

6.
Here is a crystal of AlAs2Br relaxed with PBEsol from Alexandria. Energies are from SCAN.

Unit cell a=3.650 b=5.080 c=5.106 alpha=113.00 beta=90.00 gamma=90.00
Positions (direct):
As (0.000, 0.999, 0.004)
As (0.500, 0.791, 0.208)
Br (0.000, 0.474, 0.528)
Al (0.500, 0.236, 0.760)

Computed properties:
* SG: Pm, No. 6
* energy relative to the lowest polymorph listed for this composition: 0.00 eV per formula unit
* electronic total energy: -67.486 eV for the cell shown
* Fermi-level density of states: 1.51 states/eV/cell
* ΔE_f (raw): 0.03 eV/atom

***

7.
Here is a crystal of InCuW2 relaxed with PBEsol from Alexandria. Energies are from SCAN.

Unit cell a=2.717 b=4.836 c=5.076 alpha=96.46 beta=90.00 gamma=106.31
Positions (direct):
Cu (0.496, 0.992, 0.508)
W (0.756, 0.513, 0.238)
W (0.001, 0.001, 0.025)
In (0.247, 0.494, 0.729)

Computed properties:
* SG: Cm, No. 8
* electronic total energy: -185.846 eV for the cell shown
* Fermi-level density of states: 1.48 states/eV/cell
* calculated formation energy: 0.529 eV/atom

***

8.
Here is a crystal of BaLaRh2 relaxed with PBEsol from Alexandria. Energies are from SCAN.

Unit cell a=4.967 b=4.967 c=4.967 alpha=60.00 beta=60.00 gamma=60.00
Last column: magnetic moment on the atom in μB.
Positions (direct):
La (0.250, 0.250, 0.250)  -0.02
Ba (0.500, 0.500, 0.500)  0.00
Rh (0.750, 0.750, 0.750)  0.38
Rh (0.000, 0.000, 0.000)  0.27

Computed properties:
* SG: F-43m, No. 216
* electronic total energy: -149.874 eV for the cell shown
* Fermi-level density of states: 5.80 states/eV/cell
* calculated formation energy: 0.081 eV/atom

***

9.
Here is a crystal of LiGeN relaxed with PBEsol from Alexandria. Energies are from SCAN.

Unit cell a=2.977 b=2.977 c=9.305 alpha=90.00 beta=90.00 gamma=120.00
Positions (direct):
N (0.667, 0.333, 0.397)
N (0.333, 0.667, 0.897)
Li (0.333, 0.667, 0.256)
Li (0.667, 0.333, 0.756)
Ge (0.000, 0.000, 0.502)
Ge (0.000, 0.000, 0.002)

Computed properties:
* SG: P6_3mc, No. 186
* energy relative to the lowest polymorph listed for this composition: 0.01 eV per formula unit
* electronic total energy: -63.832 eV for the cell shown
* Fermi-level density of states: 0.00 states/eV/cell
* ΔE_f (raw): -0.38 eV/atom

***

10.
Here is a crystal of CaLa2Co relaxed with PBEsol from Alexandria. Energies are from SCAN.

Unit cell a=5.185 b=5.185 c=5.185 alpha=60.00 beta=60.00 gamma=60.00
Last column: magnetic moment on the atom in μB.
Positions (direct):
La (0.750, 0.750, 0.750)  -0.23
La (0.000, 0.000, 0.000)  -0.22
Co (0.250, 0.250, 0.250)  1.80
Ca (0.500, 0.500, 0.500)  -0.07

Computed properties:
* SG: F-43m, No. 216
* energy relative to the lowest polymorph listed for this composition: 1.59 eV per formula unit
* electronic total energy: -111.478 eV for the cell shown
* Fermi-level density of states: 6.02 states/eV/cell
* calculated formation energy: 0.425 eV/atom

***

11.
Here is a crystal of ReTeRu3 relaxed with PBEsol from Alexandria. Energies are from SCAN.

Unit cell a=4.642 b=4.642 c=4.642 alpha=90.00 beta=90.00 gamma=90.00
Last column: magnetic moment on the atom in μB.
Positions (direct):
Re (0.000, 0.000, 0.000)  -0.08
Ru (0.000, 0.500, 0.000)  0.73
Ru (0.500, 0.000, 0.000)  0.73
Ru (0.000, 0.000, 0.500)  0.73
Te (0.500, 0.500, 0.500)  0.08

Computed properties:
* SG: Pm-3m, No. 221
* electronic total energy: -205.073 eV for the cell shown
* Fermi-level density of states: 4.18 states/eV/cell
* ΔE_f (raw): 1.55 eV/atom

***

12.
Here is a crystal of Mn2FeB2 relaxed with PBEsol from Alexandria. Energies are from SCAN.

Unit cell a=2.929 b=5.359 c=5.359 alpha=90.00 beta=90.00 gamma=90.00
Last column: magnetic moment on the atom in μB.
Positions (direct):
B (0.000, 0.380, 0.880)  -0.24
B (0.000, 0.620, 0.120)  -0.24
B (0.000, 0.120, 0.380)  -0.24
B (0.000, 0.880, 0.620)  -0.24
Mn (0.500, 0.671, 0.829)  2.31
Mn (0.500, 0.829, 0.329)  2.31
Mn (0.500, 0.171, 0.671)  2.31
Mn (0.500, 0.329, 0.171)  2.31
Fe (0.000, 0.000, 0.000)  1.99
Fe (0.000, 0.500, 0.500)  1.99

Computed properties:
* SG: P4/mbm, No. 127
* electronic total energy: -143.432 eV for the cell shown
* Fermi-level density of states: 4.28 states/eV/cell
* calculated formation energy: -0.443 eV/atom